[1]
VASP calculation (PBE) on a geometry-optimized AcTeRh2 structure.

Unit cell a=4.987 b=4.987 c=4.987 alpha=60.00 beta=60.00 gamma=60.00
Element x y z (fractional)
Rh1 0.250 0.250 0.250
Rh2 0.750 0.750 0.750
Ac1 0.500 0.500 0.500
Te1 0.000 0.000 0.000

The raw total energy is -5.87 eV per atom. Its space group is No. 225.



[2]
VASP calculation (PBE) on a geometry-optimized AcTe2Rh structure.

Unit cell a=3.780 b=3.780 c=7.466 alpha=90.00 beta=90.00 gamma=90.00
Site moments in Bohr magnetons follow the coordinates.
Element x y z (fractional)
Ac1 0.500 0.500 0.500  0.05
Te1 0.000 0.000 0.213  0.06
Te2 0.000 0.000 0.787  0.06
Rh1 0.500 0.500 0.000  0.64

The raw total energy is -4.76 eV per atom. Its space group is No. 123.



[3]
VASP calculation (PBE) on a geometry-optimized AcTeRh structure.

Unit cell a=4.289 b=4.624 c=4.624 alpha=120.00 beta=90.00 gamma=90.00
Element x y z (fractional)
Rh1 0.138 0.000 0.000
Ac1 0.678 0.667 0.333
Te1 0.184 0.333 0.667

The raw total energy is -5.97 eV per atom. Its space group is No. 156.



So what do the calculations give for density? Going down the list: 10.6, 9.1, 9.6 g/cm³.
So what do the calculations give for energy relative to the elements, uncorrected? Going down the list: -0.379, -0.327, -1.099 eV/atom.